1.
Below is crystalline CsBa3Ga5Se10Cl2 at its relaxed geometry, with properties calculated at the PBEsol level.

```
CsBa3Ga5Se10Cl2
1.0
-3.092 -6.751 -4.378
6.546 0.730 -5.738
2.693 -1.706 9.437
Cs Ba Ga Se Cl
1 3 5 10 2
direct
0.261 0.645 0.770
0.520 0.125 0.770
0.867 0.767 0.228
0.345 0.489 0.228
0.859 0.262 0.333
0.477 0.064 0.330
0.935 0.151 0.680
0.734 0.525 0.662
0.008 0.000 0.000
0.951 0.281 0.144
0.191 0.861 0.152
0.158 0.071 0.872
0.716 0.808 0.846
0.585 0.042 0.140
0.905 0.426 0.861
0.808 0.546 0.464
0.658 0.926 0.489
0.076 0.176 0.528
0.437 0.339 0.504
0.517 0.485 0.017
0.243 0.761 0.481
```

Properties
Its uncorrected formation energy is -1.2583 eV per atom. The total energy is -4.4300 eV per atom. The space group is P1 (1). The total moment comes out at 0.00 μB/f.u. Its crystal system is triclinic.


2.
Below is crystalline CsBa2NCl at its relaxed geometry, with properties calculated at the PBEsol level.

```
CsBa2NCl
1.0
-1.405 -2.932 -4.829
2.222 -4.861 2.305
-5.379 -1.333 2.374
Cs N Ba Cl
1 1 2 1
direct
0.000 0.000 0.500
0.500 0.500 0.500
0.000 0.500 0.000
0.500 0.000 0.000
0.000 0.000 0.000
```

Properties
Its uncorrected formation energy is 0.2368 eV per atom. The total energy is -2.9182 eV per atom. The space group is P4/mmm (123). The total moment comes out at 0.15 μB/f.u. Its crystal system is tetragonal.